# Pr6CdI8

A relaxed Pr6CdI8 crystal (PBE, Alexandria via LeMat-Bulk).

a = 7.724 Å, b = 7.724 Å, c = 12.554 Å
α = 72.08°, β = 72.08°, γ = 60.00°
Fractional coordinates of all 15 atoms:
Pr: 0.948 0.629 0.156
Pr: 0.733 0.052 0.844
Pr: 0.371 0.733 0.844
Pr: 0.629 0.267 0.156
Pr: 0.267 0.948 0.156
Pr: 0.052 0.371 0.844
Cd: 0.000 0.000 0.000
I: 0.771 0.447 0.673
I: 0.891 0.229 0.327
I: 0.553 0.891 0.327
I: 0.333 0.333 0.000
I: 0.667 0.667 0.000
I: 0.447 0.109 0.673
I: 0.109 0.771 0.673
I: 0.229 0.553 0.327

Properties
Theoretical density   5.404 g cm⁻³
Formation energy (no corrections)   -1.05 eV per atom
Raw total energy   -0.28319 Ry/atom
Size of the total moment   0.0 μB/f.u.



# PtINO2

A relaxed PtINO2 crystal (PBE, Alexandria via LeMat-Bulk).

a = 3.926 Å, b = 3.926 Å, c = 4.675 Å
α = 90.00°, β = 90.00°, γ = 90.00°
Each line ends with the local moment (μB).
Fractional coordinates of all 5 atoms:
I: 0.000 0.000 0.000  0.00
O: 0.000 0.500 0.000  0.05
O: 0.500 0.000 0.000  0.05
Pt: 0.500 0.500 0.500  0.59
N: 0.000 0.000 0.500  0.13

Properties
Theoretical density   8.483 g cm⁻³
Formation energy (no corrections)   1.32 eV per atom
Raw total energy   -0.28244 Ry/atom
Size of the total moment   0.9 μB/f.u.



# NbAgS2N

A relaxed NbAgS2N crystal (PBE, Alexandria via LeMat-Bulk).

a = 4.736 Å, b = 5.578 Å, c = 4.736 Å
α = 90.00°, β = 90.00°, γ = 90.00°
Each line ends with the local moment (μB).
Fractional coordinates of all 5 atoms:
Nb: 0.000 0.000 0.000  -0.01
S: 0.000 0.000 0.500  0.05
S: 0.500 0.000 0.000  0.03
Ag: 0.000 0.500 0.000  0.03
N: 0.500 0.500 0.500  1.83

Properties
Theoretical density   3.702 g cm⁻³
Formation energy (no corrections)   1.05 eV per atom
Raw total energy   -0.35663 Ry/atom
Size of the total moment   2.9 μB/f.u.
Energy above the lowest structure with this stoichiometry   974 meV per atom



# Tb3Ce2NdTm6

A relaxed Tb3Ce2NdTm6 crystal (PBE, Alexandria via LeMat-Bulk).

a = 6.110 Å, b = 6.110 Å, c = 11.624 Å
α = 95.02°, β = 95.02°, γ = 119.99°
Each line ends with the local moment (μB).
Fractional coordinates of all 12 atoms:
Tb: 0.166 0.834 0.500  -0.02
Tb: 0.834 0.166 0.500  -0.02
Tb: 0.500 0.500 0.500  -0.02
Ce: 0.333 0.667 0.000  0.72
Ce: 0.667 0.333 0.000  0.72
Nd: 0.000 0.000 0.000  0.01
Tm: 0.916 0.581 0.750  0.01
Tm: 0.748 0.748 0.250  0.01
Tm: 0.084 0.419 0.250  0.01
Tm: 0.581 0.916 0.750  0.01
Tm: 0.252 0.252 0.750  0.01
Tm: 0.419 0.084 0.250  0.01

Properties
Theoretical density   8.593 g cm⁻³
Raw total energy   -0.34769 Ry/atom
Size of the total moment   1.8 μB/f.u.
E_form   4.7 kJ per mole of atoms



# AcInSbO

A relaxed AcInSbO crystal (PBE, Alexandria via LeMat-Bulk).

a = 3.509 Å, b = 3.509 Å, c = 9.760 Å
α = 100.36°, β = 100.36°, γ = 90.00°
Fractional coordinates of all 4 atoms:
Ac: 0.908 0.908 0.815
In: 0.171 0.171 0.343
Sb: 0.557 0.557 0.113
O: 0.376 0.376 0.753

Properties
Theoretical density   6.850 g cm⁻³
Formation energy (no corrections)   -1.28 eV per atom
Raw total energy   -0.38694 Ry/atom
Size of the total moment   0.0 μB/f.u.



# Er12ThSc6

A relaxed Er12ThSc6 crystal (PBE, Alexandria via LeMat-Bulk).

a = 8.977 Å, b = 8.977 Å, c = 8.977 Å
α = 109.47°, β = 109.47°, γ = 109.47°
Fractional coordinates of all 19 atoms:
Er: 0.265 0.068 0.804
Er: 0.265 0.461 0.196
Er: 0.735 0.539 0.804
Er: 0.735 0.932 0.196
Er: 0.068 0.804 0.265
Er: 0.461 0.196 0.265
Er: 0.539 0.804 0.735
Er: 0.932 0.196 0.735
Er: 0.804 0.265 0.068
Er: 0.196 0.265 0.461
Er: 0.804 0.735 0.539
Er: 0.196 0.735 0.932
Th: 0.000 0.000 0.000
Sc: 0.362 0.500 0.862
Sc: 0.638 0.500 0.138
Sc: 0.500 0.862 0.362
Sc: 0.500 0.138 0.638
Sc: 0.862 0.362 0.500
Sc: 0.138 0.638 0.500

Properties
Theoretical density   7.480 g cm⁻³
Raw total energy   -0.36997 Ry/atom
Size of the total moment   0.0 μB/f.u.
Energy above the lowest structure with this stoichiometry   191 meV per atom
E_form   23.0 kJ per mole of atoms